[1]
A plane-wave DFT calculation with PBE-GGA was carried out for an optimized crystal structure of TlCdSbTe2.

Structure (extended XYZ):
```
5
Lattice="5.786 0.000 0.000 0.000 5.786 0.000 0.000 0.000 5.462" Properties=species:S:1:pos:R:3 pbc="T T T"
Te 0.000 2.893 0.000
Cd 0.000 0.000 0.000
Sb 0.000 0.000 2.731
Te 2.893 0.000 0.000
Tl 2.893 2.893 2.731
```

## Properties
Magnetic moment, μB/f.u.: 0.00
ΔE to the lowest computed polymorph, meV per atom: 0

[2]
A plane-wave DFT calculation with PBE-GGA was carried out for an optimized crystal structure of La2Zn15Rh2.

Structure (extended XYZ):
```
19
Lattice="6.861 -0.059 -0.053 0.831 6.811 -0.053 0.831 0.730 6.771" Properties=species:S:1:pos:R:3 pbc="T T T"
Zn 3.383 6.014 2.293
Zn 0.831 5.114 1.852
Zn 5.178 0.161 1.852
Zn 2.514 0.510 4.867
Zn 5.178 1.858 -0.053
Zn 3.383 2.969 5.711
La 2.858 2.508 2.235
Zn 2.121 4.907 4.373
Zn 5.141 1.467 4.373
Zn 5.141 4.512 0.955
Rh 0.951 0.835 0.744
La 5.666 4.973 4.431
Zn 6.402 2.574 2.293
Zn 0.416 3.405 -0.026
Rh 7.572 6.646 5.922
Zn 0.831 2.427 4.867
Zn 0.416 0.365 3.386
Zn 2.514 4.894 -0.053
Zn 3.430 -0.030 -0.026
```

## Properties
Magnetic moment, μB/f.u.: 0.00

[3]
A plane-wave DFT calculation with PBE-GGA was carried out for an optimized crystal structure of Sr2TcAs.

Structure (extended XYZ):
```
4
Lattice="5.592 0.012 0.000 -1.202 5.461 0.000 0.000 0.000 3.392" Properties=species:S:1:pos:R:3 pbc="T T T"
Sr 0.000 0.000 0.000
As -0.601 2.731 1.696
Sr 2.195 2.736 0.000
Tc 2.796 0.006 1.696
```

## Properties
Magnetic moment, μB/f.u.: 2.15

[4]
A plane-wave DFT calculation with PBE-GGA was carried out for an optimized crystal structure of Dy2YAu6.

Structure (extended XYZ):
```
9
Lattice="5.225 0.098 0.828 2.341 4.377 1.723 0.004 -0.196 8.502" Properties=species:S:1:pos:R:3 pbc="T T T"
Au 5.514 2.228 2.968
Dy 2.999 0.738 2.142
Au 2.832 3.638 2.999
Y 0.002 -0.098 4.251
Au 2.056 2.052 8.084
Au 2.486 1.376 5.090
Au 4.737 0.641 8.054
Dy 4.570 3.541 8.910
Au 5.083 2.903 5.963
```

## Properties
Magnetic moment, μB/f.u.: 0.00

[5]
A plane-wave DFT calculation with PBE-GGA was carried out for an optimized crystal structure of YOs2RuSe.

Structure (extended XYZ):
```
5
Lattice="4.696 0.000 0.000 0.000 4.873 0.000 0.000 0.000 4.696" Properties=species:S:1:pos:R:3 pbc="T T T"
Y 2.348 2.436 2.348
Ru 0.000 0.000 0.000
Se 0.000 2.436 0.000
Os 0.000 0.000 2.348
Os 2.348 0.000 0.000
```

## Properties
Magnetic moment, μB/f.u.: 0.00

[6]
A plane-wave DFT calculation with PBE-GGA was carried out for an optimized crystal structure of BPtSe2.

Structure (extended XYZ):
```
4
Lattice="6.575 -0.008 -0.005 5.302 3.889 -0.005 5.302 1.732 3.482" Properties=species:S:1:pos:R:3 pbc="T T T"
Pt 8.590 2.807 1.736
Se 15.459 5.051 3.124
B 0.000 0.000 0.000
Se 1.720 0.562 0.348
```

## Properties
Magnetic moment, μB/f.u.: 0.00

[7]
A plane-wave DFT calculation with PBE-GGA was carried out for an optimized crystal structure of PmPuP2.

Structure (extended XYZ):
```
4
Lattice="-1.223 2.605 -2.873 -2.829 -1.127 -2.695 -6.078 2.718 2.174" Properties=species:S:1:pos:R:3 pbc="T T T"
Pu 0.000 0.000 0.000
P -2.466 1.018 -0.905
Pm -5.065 2.098 -1.697
P -7.664 3.178 -2.489
```

## Properties
Magnetic moment, μB/f.u.: 4.91
ΔE to the lowest computed polymorph, meV per atom: 0

[8]
A plane-wave DFT calculation with PBE-GGA was carried out for an optimized crystal structure of CaSiBO.

Structure (extended XYZ):
```
8
Lattice="6.346 0.000 -0.016 0.000 3.414 0.000 -1.872 0.000 5.645" Properties=species:S:1:pos:R:3 pbc="T T T"
B 2.189 1.707 4.253
O 3.506 1.707 4.728
O 4.443 0.000 1.906
Ca 4.885 0.000 4.132
Ca 5.821 1.707 1.309
Si 2.455 1.707 0.225
Si 1.519 0.000 3.048
B 3.125 0.000 1.431
```

## Properties
Magnetic moment, μB/f.u.: 0.00
ΔE to the lowest computed polymorph, meV per atom: 129

[9]
A plane-wave DFT calculation with PBE-GGA was carried out for an optimized crystal structure of Ta2SiTe.

Structure (extended XYZ):
```
4
Lattice="-4.300 -0.847 2.743 -2.346 -4.345 -1.532 4.874 1.067 1.354" Properties=species:S:1:pos:R:3 pbc="T T T"
Te -3.323 -2.596 0.605
Si -1.375 -1.187 2.351
Ta -0.398 -2.936 0.214
Ta 0.000 0.000 0.000
```

## Properties
Magnetic moment, μB/f.u.: 0.00
ΔE to the lowest computed polymorph, meV per atom: 513

[10]
A plane-wave DFT calculation with PBE-GGA was carried out for an optimized crystal structure of CePaTl.

Structure (extended XYZ):
```
3
Lattice="4.202 0.000 0.000 0.000 4.202 0.000 -2.101 -2.101 4.706" Properties=species:S:1:pos:R:3 pbc="T T T"
Pa 2.101 2.101 1.292
Ce 2.101 2.101 4.039
Tl 0.000 0.000 2.669
```

## Properties
Magnetic moment, μB/f.u.: 1.31
ΔE to the lowest computed polymorph, meV per atom: 40

[11]
A plane-wave DFT calculation with PBE-GGA was carried out for an optimized crystal structure of Ac4Ga3Cu5.

Structure (extended XYZ):
```
12
Lattice="4.496 0.000 0.000 2.248 7.428 0.221 2.248 2.907 9.290" Properties=species:S:1:pos:R:3 pbc="T T T"
Ga 2.248 5.167 4.755
Cu 2.248 3.137 0.307
Cu 6.744 9.580 8.497
Ac 2.248 5.925 1.552
Ga 4.496 7.392 3.620
Cu 4.496 5.167 4.755
Ga 4.496 2.943 5.891
Cu 2.248 0.755 1.013
Ac 4.496 7.861 6.782
Ac 4.496 2.474 2.729
Cu 6.744 7.198 9.204
Ac 6.744 4.410 7.958
```

## Properties
Magnetic moment, μB/f.u.: 0.00

[12]
A plane-wave DFT calculation with PBE-GGA was carried out for an optimized crystal structure of NdLuMgGa.

Structure (extended XYZ):
```
4
Lattice="-2.083 1.275 -4.590 1.021 -2.879 -4.208 -3.723 -2.974 -2.082" Properties=species:S:1:pos:R:3 pbc="T T T"
Lu 0.000 0.000 0.000
Ga -1.196 -1.144 -2.720
Mg -3.589 -3.433 -8.160
Nd -2.393 -2.289 -5.440
```

## Properties
Magnetic moment, μB/f.u.: 0.00

[13]
A plane-wave DFT calculation with PBE-GGA was carried out for an optimized crystal structure of LaSmYSe3.

Structure (extended XYZ):
```
12
Lattice="4.095 0.000 0.000 0.000 7.266 -0.216 0.000 -2.102 10.681" Properties=species:S:1:pos:R:3 pbc="T T T"
La 1.024 1.833 3.184
Se 3.071 0.943 5.290
Se 3.071 0.054 1.677
Sm 1.024 5.432 0.450
Y 3.071 5.601 3.760
Y 1.024 -0.438 6.705
Se 1.024 4.220 5.174
Sm 3.071 -0.268 10.015
Se 1.024 1.527 8.797
Se 1.024 5.110 8.787
Se 3.071 3.636 1.668
La 3.071 3.330 7.280
```

## Properties
Magnetic moment, μB/f.u.: 0.00

[14]
A plane-wave DFT calculation with PBE-GGA was carried out for an optimized crystal structure of Cs3Pu2CuO9.

Structure (extended XYZ):
```
15
Lattice="-2.900 1.766 5.173 3.277 -5.249 -0.072 6.212 3.849 2.169" Properties=species:S:1:pos:R:3 pbc="T T T"
O 2.590 -0.409 1.591
O 0.189 -1.741 2.550
O 3.829 2.344 3.380
O 4.066 -2.774 1.559
Pu 2.218 -2.291 2.025
Cs 0.000 0.000 0.000
Pu 4.371 2.657 5.244
O -1.450 0.883 2.587
O 3.999 0.775 5.678
O 2.760 -1.978 3.890
Cs 5.273 -0.398 3.092
Cs 1.316 0.764 4.178
O 2.523 3.140 5.711
O 1.639 -2.624 -0.036
Cu 3.106 1.924 1.084
```

## Properties
Magnetic moment, μB/f.u.: 1.89

[15]
A plane-wave DFT calculation with PBE-GGA was carried out for an optimized crystal structure of K5Mo.

Structure (extended XYZ):
```
6
Lattice="2.267 -11.236 0.000 2.267 11.236 0.000 0.000 0.000 6.821" Properties=species:S:1:pos:R:3 pbc="T T T"
K 2.267 -3.453 0.000
K 2.267 3.719 0.000
K 2.267 -5.671 3.410
K 2.267 11.025 0.000
Mo 2.267 8.737 3.410
K 2.267 0.624 3.410
```

## Properties
Magnetic moment, μB/f.u.: 4.94
ΔE to the lowest computed polymorph, meV per atom: 22

[16]
A plane-wave DFT calculation with PBE-GGA was carried out for an optimized crystal structure of Ac2ErSnPt6.

Structure (extended XYZ):
```
10
Lattice="7.182 0.000 0.000 0.000 7.182 0.000 3.591 3.591 5.079" Properties=species:S:1:pos:R:3 pbc="T T T"
Ac 7.182 3.591 2.539
Pt 8.997 8.996 5.079
Sn 0.000 0.000 0.000
Pt 1.777 5.405 0.000
Pt 7.183 7.182 2.513
Ac 3.592 7.182 2.539
Pt 1.777 1.777 0.000
Er 3.591 3.591 0.000
Pt 3.591 3.591 2.565
Pt 5.405 1.777 0.000
```

## Properties
Magnetic moment, μB/f.u.: 0.00

[17]
A plane-wave DFT calculation with PBE-GGA was carried out for an optimized crystal structure of Pr4Sm5Dy.

Structure (extended XYZ):
```
10
Lattice="-0.207 3.570 -0.392 -11.231 -0.807 -1.470 -1.118 -0.937 8.843" Properties=species:S:1:pos:R:3 pbc="T T T"
Sm -6.655 -0.156 2.192
Sm -5.901 1.982 4.789
Pr -9.265 -0.021 4.863
Sm -11.066 -0.472 1.599
Dy -0.103 1.785 -0.196
Pr -4.044 2.368 7.564
Pr -3.291 1.846 2.118
Sm -1.489 2.298 5.382
Sm -5.719 1.382 -0.931
Pr -8.511 -0.543 -0.582
```

## Properties
Magnetic moment, μB/f.u.: 0.00
ΔE to the lowest computed polymorph, meV per atom: 0

[18]
A plane-wave DFT calculation with PBE-GGA was carried out for an optimized crystal structure of RbNa2CdIn.

Structure (extended XYZ):
```
5
Lattice="6.049 0.000 0.000 0.000 6.049 0.000 0.000 0.000 5.762" Properties=species:S:1:pos:R:3 pbc="T T T"
Rb 3.024 3.024 2.881
Cd 0.000 0.000 2.881
In 0.000 0.000 0.000
Na 0.000 3.024 0.000
Na 3.024 0.000 0.000
```

## Properties
Magnetic moment, μB/f.u.: 0.00
ΔE to the lowest computed polymorph, meV per atom: 0

[19]
A plane-wave DFT calculation with PBE-GGA was carried out for an optimized crystal structure of Th3GeP2.

Structure (extended XYZ):
```
6
Lattice="-0.341 -1.107 -4.036 0.926 -5.671 1.477 -6.494 2.571 2.028" Properties=species:S:1:pos:R:3 pbc="T T T"
Th -2.126 -0.280 0.257
Th -3.784 -3.926 -0.788
P -4.320 -1.100 -1.517
Th 0.292 -3.389 -1.280
Ge -0.171 -0.553 -2.018
P -1.590 -3.106 0.986
```

## Properties
Magnetic moment, μB/f.u.: 0.00

[20]
A plane-wave DFT calculation with PBE-GGA was carried out for an optimized crystal structure of La2MgNi2.

Structure (extended XYZ):
```
10
Lattice="-3.583 -2.537 7.133 7.527 -0.342 3.659 -0.323 3.147 0.957" Properties=species:S:1:pos:R:3 pbc="T T T"
La -1.212 -1.692 5.152
La 5.156 -1.187 5.640
Ni 4.201 0.966 3.948
La 2.131 -0.493 2.340
Mg 0.000 0.000 0.000
Mg 1.972 -1.439 5.396
La 1.812 -2.385 8.453
Ni -0.265 0.639 3.518
Ni 3.886 -0.370 8.232
Ni -0.580 -0.697 7.802
```

## Properties
Magnetic moment, μB/f.u.: 0.00

VASP energy per entry: -2.417, -2.614, -4.338, -4.721, -7.407, -4.562, -8.831, -5.818, -7.730, -5.781, -4.028, -3.794, -6.252, -7.221, -1.926, -5.625, -4.558, -1.444, -7.570, -4.583 eV per atom